Entry 1:
First-principles (PBE-GGA) data for a geometry-optimized Th2NbSi4Ir3 structure, as listed in Alexandria via LeMat-Bulk.

Computed properties:
VASP energy: -82.55 eV/cell
spin magnetization: 0.00 μB/f.u.
symmetry: P-4m2, No. 115
uncorrected formation energy: -0.937 eV/atom

abc: 4.194 4.194 10.347
angles: 90.00 90.00 90.00
Positions (direct):
Th  0.500  0.000  0.237
Th  0.000  0.500  0.763
Nb  0.500  0.500  0.500
Si  0.500  0.500  0.000
Si  0.000  0.000  0.000
Si  0.500  0.000  0.645
Si  0.000  0.500  0.355
Ir  0.000  0.000  0.500
Ir  0.500  0.000  0.879
Ir  0.000  0.500  0.121

=====

Entry 2:
First-principles (PBE-GGA) data for a geometry-optimized Th2NbSi3Ir4 structure, as listed in Alexandria via LeMat-Bulk.

Computed properties:
VASP energy: -86.54 eV/cell
spin magnetization: 0.00 μB/f.u.
symmetry: P-4m2, No. 115
uncorrected formation energy: -0.992 eV/atom

abc: 4.192 4.192 10.363
angles: 90.00 90.00 90.00
Positions (direct):
Th  0.500  0.000  0.245
Th  0.000  0.500  0.755
Nb  0.500  0.500  0.500
Si  0.000  0.000  0.500
Si  0.500  0.000  0.873
Si  0.000  0.500  0.127
Ir  0.500  0.500  0.000
Ir  0.000  0.000  0.000
Ir  0.500  0.000  0.641
Ir  0.000  0.500  0.359

=====

Entry 3:
First-principles (PBE-GGA) data for a geometry-optimized ThNbSi2Ir5 structure, as listed in Alexandria via LeMat-Bulk.

Computed properties:
VASP energy: -77.51 eV/cell
spin magnetization: 0.00 μB/f.u.
symmetry: P4/mmm, No. 123
uncorrected formation energy: -0.541 eV/atom

abc: 4.034 4.034 10.661
angles: 90.00 90.00 90.00
Positions (direct):
Th  0.000  0.000  0.500
Nb  0.000  0.000  0.000
Si  0.500  0.500  0.278
Si  0.500  0.500  0.722
Ir  0.000  0.500  0.164
Ir  0.500  0.000  0.164
Ir  0.000  0.500  0.836
Ir  0.500  0.000  0.836
Ir  0.500  0.500  0.500

=====

Entry 4:
First-principles (PBE-GGA) data for a geometry-optimized NbSiIrW2 structure, as listed in Alexandria via LeMat-Bulk.

Computed properties:
VASP energy: -43.00 eV/cell
spin magnetization: 0.00 μB/f.u.
symmetry: P4/mmm, No. 123
uncorrected formation energy: 1.451 eV/atom

abc: 4.815 4.346 4.815
angles: 90.00 90.00 90.00
Positions (direct):
Nb  0.500  0.500  0.500
Ir  0.000  0.000  0.000
Si  0.000  0.500  0.000
W  0.000  0.000  0.500
W  0.500  0.000  0.000

=====

Entry 5:
First-principles (PBE-GGA) data for a geometry-optimized Y2NbSi3Ir4 structure, as listed in Alexandria via LeMat-Bulk.

Computed properties:
VASP energy: -84.37 eV/cell
spin magnetization: 0.00 μB/f.u.
symmetry: P-4m2, No. 115
uncorrected formation energy: -0.966 eV/atom

abc: 4.102 4.102 10.460
angles: 90.00 90.00 90.00
Positions (direct):
Y  0.500  0.000  0.237
Y  0.000  0.500  0.763
Nb  0.500  0.500  0.500
Si  0.000  0.000  0.500
Si  0.500  0.000  0.874
Si  0.000  0.500  0.126
Ir  0.500  0.500  0.000
Ir  0.000  0.000  0.000
Ir  0.500  0.000  0.646
Ir  0.000  0.500  0.354

=====

Entry 6:
First-principles (PBE-GGA) data for a geometry-optimized SmNbIr2 structure, as listed in Alexandria via LeMat-Bulk.

Computed properties:
VASP energy: -34.18 eV/cell
spin magnetization: 0.00 μB/f.u.
symmetry: R-3m, No. 166
distance to the lowest polymorph of the same formula: 0.0739 eV per atom

abc: 4.400 4.400 5.571
angles: 66.74 66.74 60.00
Positions (direct):
Nb  0.500  0.500  0.500
Ir  0.785  0.785  0.645
Ir  0.215  0.215  0.355
Sm  0.000  0.000  0.000

=====

Density across the listed records, respectively: 11366, 12856, 12849, 11222, 10602, 12539 kg/m3.